(1)
# ZnHIr (PBE, relaxed)
data_ZnHIr
_chemical_formula_sum 'Zn1 H1 Ir1'
_cell_length_a 3.080
_cell_length_b 3.080
_cell_length_c 4.062
_cell_angle_alpha 90.00
_cell_angle_beta 90.00
_cell_angle_gamma 120.00
_space_group_name_H-M_alt 'P 1'
_space_group_IT_number 1
loop_
_space_group_symop_operation_xyz
'x,y,z'
loop_
_atom_site_label
_atom_site_type_symbol
_atom_site_fract_x
_atom_site_fract_y
_atom_site_fract_z
_atom_site_occupancy
Zn1 Zn 0.000 0.000 0.000 1
H1 H 0.333 0.667 0.502 1
Ir1 Ir 0.667 0.333 0.500 1
# distance to the lowest polymorph of the same formula = 0 meV/atom
# calculated density = 12.87 g/cm³
# E_tot = -4.482 eV per atom



(2)
# AlAgSn (PBE, relaxed)
data_AlAgSn
_chemical_formula_sum 'Al2 Ag2 Sn2'
_cell_length_a 5.004
_cell_length_b 5.004
_cell_length_c 5.863
_cell_angle_alpha 90.00
_cell_angle_beta 90.00
_cell_angle_gamma 120.00
_space_group_name_H-M_alt 'P 1'
_space_group_IT_number 1
loop_
_space_group_symop_operation_xyz
'x,y,z'
loop_
_atom_site_label
_atom_site_type_symbol
_atom_site_fract_x
_atom_site_fract_y
_atom_site_fract_z
_atom_site_occupancy
Al1 Al 0.333 0.667 0.250 1
Al2 Al 0.667 0.333 0.750 1
Ag1 Ag 0.000 0.000 0.000 1
Ag2 Ag 0.000 0.000 0.500 1
Sn1 Sn 0.333 0.667 0.750 1
Sn2 Sn 0.667 0.333 0.250 1
# formation enthalpy at 0 K = 55 kJ/mol of formula units
# calculated density = 6.62 g/cm³
# E_tot = -3.343 eV per atom



(3)
# TbPrIrPd (PBE, relaxed)
data_TbPrIrPd
_chemical_formula_sum 'Tb1 Pr1 Ir1 Pd1'
_cell_length_a 5.012
_cell_length_b 5.012
_cell_length_c 5.012
_cell_angle_alpha 60.00
_cell_angle_beta 60.00
_cell_angle_gamma 60.00
_space_group_name_H-M_alt 'P 1'
_space_group_IT_number 1
loop_
_space_group_symop_operation_xyz
'x,y,z'
loop_
_atom_site_label
_atom_site_type_symbol
_atom_site_fract_x
_atom_site_fract_y
_atom_site_fract_z
_atom_site_occupancy
Tb1 Tb 0.000 0.000 0.000 1
Pr1 Pr 0.500 0.500 0.500 1
Ir1 Ir 0.250 0.250 0.250 1
Pd1 Pd 0.750 0.750 0.750 1
# formation enthalpy at 0 K = -287 kJ/mol of formula units
# distance to the lowest polymorph of the same formula = 23 meV/atom
# calculated density = 11.16 g/cm³
# E_tot = -6.610 eV per atom



(4)
# SrLiAs2Ir (PBE, relaxed)
data_SrLiAs2Ir
_chemical_formula_sum 'Sr1 Li1 As2 Ir1'
_cell_length_a 6.195
_cell_length_b 6.195
_cell_length_c 6.195
_cell_angle_alpha 139.65
_cell_angle_beta 139.65
_cell_angle_gamma 58.38
_space_group_name_H-M_alt 'P 1'
_space_group_IT_number 1
loop_
_space_group_symop_operation_xyz
'x,y,z'
loop_
_atom_site_label
_atom_site_type_symbol
_atom_site_fract_x
_atom_site_fract_y
_atom_site_fract_z
_atom_site_occupancy
Sr1 Sr 0.000 0.000 0.000 1
Li1 Li 0.250 0.750 0.500 1
As1 As 0.370 0.370 0.000 1
As2 As 0.630 0.630 0.000 1
Ir1 Ir 0.750 0.250 0.500 1
# formation enthalpy at 0 K = -343 kJ/mol of formula units
# calculated density = 7.34 g/cm³
# E_tot = -5.062 eV per atom



(5)
# Rb2HgCCl6 (PBE, relaxed)
data_Rb2HgCCl6
_chemical_formula_sum 'Rb2 Hg1 C1 Cl6'
_cell_length_a 7.137
_cell_length_b 7.137
_cell_length_c 7.137
_cell_angle_alpha 60.00
_cell_angle_beta 60.00
_cell_angle_gamma 60.00
_space_group_name_H-M_alt 'P 1'
_space_group_IT_number 1
loop_
_space_group_symop_operation_xyz
'x,y,z'
loop_
_atom_site_label
_atom_site_type_symbol
_atom_site_fract_x
_atom_site_fract_y
_atom_site_fract_z
_atom_site_occupancy
Rb1 Rb 0.250 0.250 0.250 1
Rb2 Rb 0.750 0.750 0.750 1
Hg1 Hg 0.000 0.000 0.000 1
C1 C 0.500 0.500 0.500 1
Cl1 Cl 0.267 0.267 0.733 1
Cl2 Cl 0.267 0.733 0.267 1
Cl3 Cl 0.267 0.733 0.733 1
Cl4 Cl 0.733 0.267 0.267 1
Cl5 Cl 0.733 0.267 0.733 1
Cl6 Cl 0.733 0.733 0.267 1
# calculated density = 3.85 g/cm³
# ΔE_f (raw) = -0.532 eV per atom
# E_tot = -2.786 eV per atom



(6)
# Pr2TmPuN4 (PBE, relaxed)
data_Pr2TmPuN4
_chemical_formula_sum 'Pr2 Tm1 Pu1 N4'
_cell_length_a 6.106
_cell_length_b 3.555
_cell_length_c 6.175
_cell_angle_alpha 90.00
_cell_angle_beta 109.08
_cell_angle_gamma 90.00
_space_group_name_H-M_alt 'P 1'
_space_group_IT_number 1
loop_
_space_group_symop_operation_xyz
'x,y,z'
loop_
_atom_site_label
_atom_site_type_symbol
_atom_site_fract_x
_atom_site_fract_y
_atom_site_fract_z
_atom_site_occupancy
Pr1 Pr 0.000 0.000 0.000 1
Pr2 Pr 0.500 0.500 0.000 1
Tm1 Tm 0.000 0.500 0.500 1
Pu1 Pu 0.500 0.000 0.500 1
N1 N 0.248 0.000 0.725 1
N2 N 0.263 0.500 0.279 1
N3 N 0.737 0.500 0.721 1
N4 N 0.752 0.000 0.275 1
# calculated density = 9.84 g/cm³
# ΔE_f (raw) = -1.394 eV per atom
# E_tot = -9.102 eV per atom



What did the sixth record say?
# Pr2TmPuN4 (PBE, relaxed)
data_Pr2TmPuN4
_chemical_formula_sum 'Pr2 Tm1 Pu1 N4'
_cell_length_a 6.106
_cell_length_b 3.555
_cell_length_c 6.175
_cell_angle_alpha 90.00
_cell_angle_beta 109.08
_cell_angle_gamma 90.00
_space_group_name_H-M_alt 'P 1'
_space_group_IT_number 1
loop_
_space_group_symop_operation_xyz
'x,y,z'
loop_
_atom_site_label
_atom_site_type_symbol
_atom_site_fract_x
_atom_site_fract_y
_atom_site_fract_z
_atom_site_occupancy
Pr1 Pr 0.000 0.000 0.000 1
Pr2 Pr 0.500 0.500 0.000 1
Tm1 Tm 0.000 0.500 0.500 1
Pu1 Pu 0.500 0.000 0.500 1
N1 N 0.248 0.000 0.725 1
N2 N 0.263 0.500 0.279 1
N3 N 0.737 0.500 0.721 1
N4 N 0.752 0.000 0.275 1
# calculated density = 9.84 g/cm³
# ΔE_f (raw) = -1.394 eV per atom
# E_tot = -9.102 eV per atom



What did the first record say?
# ZnHIr (PBE, relaxed)
data_ZnHIr
_chemical_formula_sum 'Zn1 H1 Ir1'
_cell_length_a 3.080
_cell_length_b 3.080
_cell_length_c 4.062
_cell_angle_alpha 90.00
_cell_angle_beta 90.00
_cell_angle_gamma 120.00
_space_group_name_H-M_alt 'P 1'
_space_group_IT_number 1
loop_
_space_group_symop_operation_xyz
'x,y,z'
loop_
_atom_site_label
_atom_site_type_symbol
_atom_site_fract_x
_atom_site_fract_y
_atom_site_fract_z
_atom_site_occupancy
Zn1 Zn 0.000 0.000 0.000 1
H1 H 0.333 0.667 0.502 1
Ir1 Ir 0.667 0.333 0.500 1
# distance to the lowest polymorph of the same formula = 0 meV/atom
# calculated density = 12.87 g/cm³
# E_tot = -4.482 eV per atom



What did the fifth record say?
# Rb2HgCCl6 (PBE, relaxed)
data_Rb2HgCCl6
_chemical_formula_sum 'Rb2 Hg1 C1 Cl6'
_cell_length_a 7.137
_cell_length_b 7.137
_cell_length_c 7.137
_cell_angle_alpha 60.00
_cell_angle_beta 60.00
_cell_angle_gamma 60.00
_space_group_name_H-M_alt 'P 1'
_space_group_IT_number 1
loop_
_space_group_symop_operation_xyz
'x,y,z'
loop_
_atom_site_label
_atom_site_type_symbol
_atom_site_fract_x
_atom_site_fract_y
_atom_site_fract_z
_atom_site_occupancy
Rb1 Rb 0.250 0.250 0.250 1
Rb2 Rb 0.750 0.750 0.750 1
Hg1 Hg 0.000 0.000 0.000 1
C1 C 0.500 0.500 0.500 1
Cl1 Cl 0.267 0.267 0.733 1
Cl2 Cl 0.267 0.733 0.267 1
Cl3 Cl 0.267 0.733 0.733 1
Cl4 Cl 0.733 0.267 0.267 1
Cl5 Cl 0.733 0.267 0.733 1
Cl6 Cl 0.733 0.733 0.267 1
# calculated density = 3.85 g/cm³
# ΔE_f (raw) = -0.532 eV per atom
# E_tot = -2.786 eV per atom



> Which value of E_tot does entry 2 give?

-3.343 eV per atom